No. 1
A plane-wave DFT calculation with PBE was carried out for a relaxed structure of Li3SmZn9.

a = 4.882 Å, b = 6.952 Å, c = 6.930 Å
α = 82.54°, β = 69.37°, γ = 68.37°
Positions (direct):
Li 0.500 0.500 0.000
Li 0.500 0.000 0.500
Li 0.000 0.000 0.500
Zn 0.632 0.353 0.356
Zn 0.724 0.781 0.777
Zn 0.000 0.500 0.000
Zn 0.368 0.647 0.644
Zn 0.013 0.647 0.356
Zn 0.987 0.353 0.644
Zn 0.499 0.219 0.777
Zn 0.501 0.781 0.223
Zn 0.276 0.219 0.223
Sm 0.000 0.000 0.000

Computed properties:
E = -24.6 eV per cell
D(E_F) = 0.291 states/eV/atom
energy of formation = -0.209 eV/atom


No. 2
A plane-wave DFT calculation with PBE was carried out for a relaxed structure of Li2SmZn9.

a = 3.698 Å, b = 7.913 Å, c = 7.913 Å
α = 120.00°, β = 90.00°, γ = 90.00°
Positions (direct):
Sm 0.000 0.000 0.000
Zn 0.500 0.197 0.803
Zn 0.500 0.197 0.395
Zn 0.000 0.500 0.000
Zn 0.500 0.803 0.605
Zn 0.500 0.605 0.803
Zn 0.000 0.500 0.500
Zn 0.500 0.803 0.197
Zn 0.500 0.395 0.197
Zn 0.000 0.000 0.500
Li 0.000 0.333 0.667
Li 0.000 0.667 0.333

Computed properties:
E = -20.6 eV per cell
D(E_F) = 0.290 states/eV/atom
energy of formation = -0.046 eV/atom


No. 3
A plane-wave DFT calculation with PBE was carried out for a relaxed structure of Li2SmZn.

a = 4.817 Å, b = 4.817 Å, c = 4.817 Å
α = 60.00°, β = 60.00°, γ = 60.00°
Positions (direct):
Li 0.250 0.250 0.250
Li 0.750 0.750 0.750
Zn 0.500 0.500 0.500
Sm 0.000 0.000 0.000

Computed properties:
E = -9.8 eV per cell
D(E_F) = 1.110 states/eV/atom
energy of formation = -0.004 eV/atom


No. 4
A plane-wave DFT calculation with PBE was carried out for a relaxed structure of LiSmZn.

a = 4.709 Å, b = 7.040 Å, c = 7.040 Å
α = 120.00°, β = 90.00°, γ = 90.00°
Positions (direct):
Zn 0.000 0.667 0.333
Zn 0.500 0.000 0.000
Zn 0.000 0.333 0.667
Sm 0.500 0.429 0.429
Sm 0.500 0.571 0.000
Sm 0.500 0.000 0.571
Li 0.000 0.000 0.230
Li 0.000 0.770 0.770
Li 0.000 0.230 0.000

Computed properties:
E = -25.2 eV per cell
D(E_F) = 0.875 states/eV/atom
energy of formation = -0.169 eV/atom


No. 5
A plane-wave DFT calculation with PBE was carried out for a relaxed structure of Li3Sm3Zn8.

a = 4.560 Å, b = 8.460 Å, c = 8.460 Å
α = 60.28°, β = 74.37°, γ = 74.37°
Positions (direct):
Li 0.500 0.000 0.000
Li 0.000 0.185 0.815
Li 0.000 0.815 0.185
Zn 0.639 0.064 0.657
Zn 0.845 0.803 0.508
Zn 0.155 0.197 0.492
Zn 0.361 0.343 0.936
Zn 0.155 0.492 0.197
Zn 0.845 0.508 0.803
Zn 0.639 0.657 0.064
Zn 0.361 0.936 0.343
Sm 0.221 0.779 0.779
Sm 0.779 0.221 0.221
Sm 0.500 0.500 0.500

Computed properties:
E = -34.0 eV per cell
D(E_F) = 0.629 states/eV/atom
energy of formation = -0.281 eV/atom


No. 6
A plane-wave DFT calculation with PBE was carried out for a relaxed structure of LiSm4Zn.

a = 4.935 Å, b = 4.936 Å, c = 7.754 Å
α = 90.01°, β = 90.00°, γ = 90.00°
Positions (direct):
Sm 0.001 0.497 0.729
Sm 0.501 0.997 0.268
Sm 0.501 0.997 0.729
Sm 0.001 0.497 0.268
Li 0.501 0.497 0.998
Zn 0.001 0.998 0.498

Computed properties:
E = -20.6 eV per cell
D(E_F) = 1.609 states/eV/atom
energy of formation = 0.246 eV/atom


Q: Number 3 is which compound?
A: Li2SmZn